(1)
This record from the Open Quantum Materials Database describes a geometry-optimized ZnS8Cl2 structure. The functional is PBE.

Results
Its space group is No. 2. The density comes out at 2.215 g/cm³. For the energy relative to the lowest polymorph listed for this composition, the calculation gives 0 meV per atom.

```
ZnS8Cl2
1.0
6.347 0.000 0.000
3.053 6.101 0.000
3.066 1.224 7.605
Zn S Cl
1 8 2
direct
0.000 0.000 0.000 Zn
0.066 0.214 0.737 S
0.238 0.678 0.344 S
0.349 0.169 0.288 S
0.496 0.616 0.765 S
0.504 0.384 0.235 S
0.651 0.831 0.712 S
0.762 0.322 0.656 S
0.934 0.786 0.263 S
0.211 0.234 0.069 Cl
0.789 0.766 0.931 Cl
```


(2)
This record from the Open Quantum Materials Database describes a geometry-optimized ZnS8Cl2 structure. The functional is PBE.

Results
Its space group is No. 166. The density comes out at 2.877 g/cm³. For the energy relative to the lowest polymorph listed for this composition, the calculation gives 360 meV per atom.

```
ZnS8Cl2
1.0
3.024 1.746 7.158
-3.024 1.746 7.158
0.000 -3.491 7.158
Zn S Cl
1 8 2
direct
0.000 0.000 0.000 Zn
0.146 0.146 0.146 S
0.245 0.748 0.748 S
0.252 0.252 0.755 S
0.252 0.755 0.252 S
0.748 0.245 0.748 S
0.748 0.748 0.245 S
0.755 0.252 0.252 S
0.854 0.854 0.854 S
0.330 0.330 0.330 Cl
0.670 0.670 0.670 Cl
```


(3)
This record from the Open Quantum Materials Database describes a geometry-optimized TbSmSbCl2 structure. The functional is PBE.

Results
Its space group is No. 156. The density comes out at 5.114 g/cm³. For the uncorrected energy, the calculation gives -25.45 eV per cell.

```
TbSmSbCl2
1.0
4.213 0.000 0.000
-2.106 3.648 0.000
0.000 0.000 10.605
Tb Sm Sb Cl
1 1 1 2
direct
0.000 0.000 0.000 Tb
0.333 0.667 0.338 Sm
0.667 0.333 0.165 Sb
0.000 0.000 0.485 Cl
0.333 0.667 0.857 Cl
```


(4)
This record from the Open Quantum Materials Database describes a geometry-optimized SmTmSbCl2 structure. The functional is PBE.

Results
Its space group is No. 156. The density comes out at 5.345 g/cm³. For the uncorrected energy, the calculation gives -25.07 eV per cell.

```
SmTmSbCl2
1.0
4.166 0.000 0.000
-2.083 3.608 0.000
0.000 0.000 10.580
Sm Tm Sb Cl
1 1 1 2
direct
0.000 0.000 0.000 Sm
0.333 0.667 0.337 Tm
0.667 0.333 0.176 Sb
0.000 0.000 0.478 Cl
0.333 0.667 0.849 Cl
```


(5)
This record from the Open Quantum Materials Database describes a geometry-optimized SmYSbCl2 structure. The functional is PBE.

Results
Its space group is No. 156. The density comes out at 4.404 g/cm³. For the uncorrected energy, the calculation gives -27.30 eV per cell.

```
SmYSbCl2
1.0
4.212 0.000 0.000
-2.106 3.647 0.000
0.000 0.000 10.602
Sm Y Sb Cl
1 1 1 2
direct
0.000 0.000 0.000 Sm
0.667 0.333 0.663 Y
0.333 0.667 0.827 Sb
0.000 0.000 0.520 Cl
0.667 0.333 0.148 Cl
```


(6)
This record from the Open Quantum Materials Database describes a geometry-optimized ZnSbCl structure. The functional is PBE.

Results
Its space group is No. 107. The density comes out at 4.697 g/cm³. For the uncorrected energy, the calculation gives -16.71 eV per cell.

```
ZnSbCl
1.0
3.235 0.000 0.000
0.000 3.235 0.000
0.000 0.000 15.042
Zn Sb Cl
2 2 2
direct
0.000 0.000 0.000 Zn
0.500 0.500 0.500 Zn
0.000 0.000 0.171 Sb
0.500 0.500 0.671 Sb
0.000 0.000 0.420 Cl
0.500 0.500 0.920 Cl
```


Calculated values (Å³ per atom) of calculated volume for the records, taken in order: 26.77; 20.61; 32.60; 31.81; 32.57; 26.24.